w:
A relaxed structure of AcAuNO, computed with PBE-GGA.

It has space group Pmc2_1 (No. 26), with a = 4.5995 Å, b = 7.6660 Å, c = 5.1470 Å, α = 90.00°, β = 90.00° and γ = 90.00°. Symmetry generates all atoms from Ac at (0.0000, 0.1769, 0.0000), Au at (0.5000, 0.4831, 0.6557), N at (0.5000, 0.2996, 0.9298) and O at (0.0000, 0.1191, 0.4860).

For the magnetic moment, the calculation gives 0.0 μB/cell.


x:
A relaxed structure of AcAuNO, computed with PBE-GGA.

It has space group P4/mmm (No. 123), with a = 3.8101 Å, b = 3.8101 Å, c = 4.7064 Å, α = 90.00°, β = 90.00° and γ = 90.00°. Symmetry generates all atoms from Ac at (0.0000, 0.0000, 0.0000), Au at (0.5000, 0.5000, 0.5000), N at (0.5000, 0.5000, 0.0000) and O at (0.0000, 0.0000, 0.5000).

For the magnetic moment, the calculation gives 0.0 μB/cell.


Which of them is most stable? Easy: w.


w:
A relaxed structure of NaAcAu, computed with PBE-GGA.

It has space group F-43m (No. 216), with a = 7.4367 Å, b = 7.4367 Å, c = 7.4367 Å, α = 90.00°, β = 90.00° and γ = 90.00°. Symmetry generates all atoms from Na at (0.0000, 0.0000, 0.0000), Ac at (0.2500, 0.2500, 0.7500) and Au at (0.0000, 0.0000, 0.5000).

For the magnetic moment, the calculation gives 0.1 μB/cell.


x:
A relaxed structure of NaAcAu, computed with PBE-GGA.

It has space group F-43m (No. 216), with a = 7.3537 Å, b = 7.3537 Å, c = 7.3537 Å, α = 90.00°, β = 90.00° and γ = 90.00°. Symmetry generates all atoms from Na at (0.0000, 0.0000, 0.0000), Ac at (0.0000, 0.0000, 0.5000) and Au at (0.2500, 0.2500, 0.7500).

For the magnetic moment, the calculation gives 0.0 μB/cell.


Which of them is most stable? Easy: x.


w:
A relaxed structure of AcPAuO, computed with PBE-GGA.

It has space group Pmc2_1 (No. 26), with a = 4.0318 Å, b = 7.7220 Å, c = 6.3126 Å, α = 90.00°, β = 90.00° and γ = 90.00°. Symmetry generates all atoms from Ac at (0.0000, 0.2413, 0.0000), P at (0.0000, 0.1581, 0.4998), Au at (0.5000, 0.3216, 0.4979) and O at (0.5000, 0.3818, 0.9944).

For the magnetic moment, the calculation gives 0.0 μB/cell.


x:
A relaxed structure of AcPAuO, computed with PBE-GGA.

It has space group Pmc2_1 (No. 26), with a = 5.3888 Å, b = 4.2117 Å, c = 7.2457 Å, α = 90.00°, β = 90.00° and γ = 90.00°. Symmetry generates all atoms from Ac at (0.0000, 0.2455, 0.0000), P at (0.5000, 0.2444, 0.6721), Au at (0.5000, 0.2565, 0.3379) and O at (0.0000, 0.2554, 0.3341).

For the magnetic moment, the calculation gives 0.1 μB/cell.


y:
A relaxed structure of AcPAuO, computed with PBE-GGA.

It has space group P4/nmm (No. 129, origin choice 2), with a = 4.3127 Å, b = 4.3127 Å, c = 8.5722 Å, α = 90.00°, β = 90.00° and γ = 90.00°. Symmetry generates all atoms from Ac at (0.2500, 0.2500, 0.1444), P at (0.2500, 0.2500, 0.6604), Au at (0.2500, 0.7500, 0.5000) and O at (0.2500, 0.7500, 0.0000).

For the magnetic moment, the calculation gives 0.0 μB/cell.


Which of them is most stable? Easy: y.


w:
A relaxed structure of AcOsAu, computed with PBE-GGA.

It has space group F-43m (No. 216), with a = 6.9358 Å, b = 6.9358 Å, c = 6.9358 Å, α = 90.00°, β = 90.00° and γ = 90.00°. Symmetry generates all atoms from Ac at (0.0000, 0.0000, 0.0000), Os at (0.2500, 0.2500, 0.2500) and Au at (0.2500, 0.2500, 0.7500).

For the magnetic moment, the calculation gives 1.7 μB/cell.


x:
A relaxed structure of AcOsAu, computed with PBE-GGA.

It has space group F-43m (No. 216), with a = 6.8292 Å, b = 6.8292 Å, c = 6.8292 Å, α = 90.00°, β = 90.00° and γ = 90.00°. Symmetry generates all atoms from Ac at (0.0000, 0.0000, 0.0000), Os at (0.0000, 0.0000, 0.5000) and Au at (0.2500, 0.2500, 0.2500).

For the magnetic moment, the calculation gives 2.8 μB/cell.


Which of them is most stable? Easy: x.


w:
A relaxed structure of AcSiAu, computed with PBE-GGA.

It has space group P-6m2 (No. 187), with a = 4.4319 Å, b = 4.4319 Å, c = 4.4773 Å, α = 90.00°, β = 90.00° and γ = 120.00°. Symmetry generates all atoms from Ac at (0.0000, 0.0000, 0.0000), Si at (0.3333, 0.6667, 0.5000) and Au at (0.6667, 0.3333, 0.5000).

For the magnetic moment, the calculation gives 0.0 μB/cell.


x:
A relaxed structure of AcSiAu, computed with PBE-GGA.

It has space group F-43m (No. 216), with a = 7.2455 Å, b = 7.2455 Å, c = 7.2455 Å, α = 90.00°, β = 90.00° and γ = 90.00°. Symmetry generates all atoms from Ac at (0.0000, 0.0000, 0.0000), Si at (0.2500, 0.2500, 0.2500) and Au at (0.2500, 0.2500, 0.7500).

For the magnetic moment, the calculation gives 0.0 μB/cell.


Which of them is most stable? Easy: w.


w:
A relaxed structure of AcSnAu, computed with PBE-GGA.

It has space group F-43m (No. 216), with a = 7.5078 Å, b = 7.5078 Å, c = 7.5078 Å, α = 90.00°, β = 90.00° and γ = 90.00°. Symmetry generates all atoms from Ac at (0.0000, 0.0000, 0.0000), Sn at (0.2500, 0.2500, 0.2500) and Au at (0.2500, 0.2500, 0.7500).

For the magnetic moment, the calculation gives 0.0 μB/cell.


x:
A relaxed structure of AcSnAu, computed with PBE-GGA.

It has space group F-43m (No. 216), with a = 7.1866 Å, b = 7.1866 Å, c = 7.1866 Å, α = 90.00°, β = 90.00° and γ = 90.00°. Symmetry generates all atoms from Ac at (0.0000, 0.0000, 0.0000), Sn at (0.0000, 0.0000, 0.5000) and Au at (0.2500, 0.2500, 0.2500).

For the magnetic moment, the calculation gives 0.0 μB/cell.


Which of them is most stable? Easy: x.